Entry 1:
The following is a PBE-GGA calculation of an optimized crystal structure of Er4SnGeTe2, from Alexandria. Values from VASP.

## Properties
Formation energy (no corrections) ... -1.054 eV/atom
DOS(E_F) ... 1.5 states/eV/cell

```
&SYSTEM
  ibrav = 0, nat = 8, ntyp = 4
/
ATOMIC_SPECIES
Sn 118.71 Sn.upf
Te 127.60 Te.upf
Er 167.26 Er.upf
Ge 72.64 Ge.upf
CELL_PARAMETERS angstrom
-5.626 1.904 -1.226
-1.413 -5.518 -2.083
1.737 0.148 7.257
ATOMIC_POSITIONS crystal
Sn 0.500 0.500 0.000
Te 0.000 0.000 0.000
Er 0.515 0.015 0.030
Te 0.250 0.750 0.500
Er 0.746 0.746 0.492
Ge 0.750 0.250 0.500
Er 0.254 0.254 0.508
Er 0.985 0.485 0.970
```

=====

Entry 2:
The following is a PBE-GGA calculation of an optimized crystal structure of PmTm3Zn4, from Alexandria. Values from VASP.

## Properties
Energy of formation ... -0.34 eV/atom
DOS(E_F) ... 16.8 states/eV/cell

```
&SYSTEM
  ibrav = 0, nat = 16, ntyp = 3
/
ATOMIC_SPECIES
Tm 168.93 Tm.upf
Pm 145.00 Pm.upf
Zn 65.41 Zn.upf
CELL_PARAMETERS angstrom
-4.070 -2.755 0.954
3.746 -5.983 -1.299
2.587 -0.477 9.662
ATOMIC_POSITIONS crystal
Tm 0.499 0.000 0.750
Pm 0.000 0.500 0.500
Pm 0.000 0.500 0.000
Tm 0.501 0.000 0.250
Zn 0.500 0.760 0.000
Tm 0.000 0.000 0.500
Zn 0.999 0.760 0.750
Tm 0.501 0.500 0.250
Zn 0.001 0.240 0.250
Tm 0.499 0.500 0.750
Zn 0.500 0.240 0.000
Zn 0.500 0.240 0.500
Zn 0.001 0.760 0.250
Zn 0.500 0.760 0.500
Tm 0.000 0.000 0.000
Zn 0.999 0.240 0.750
```

=====

Entry 3:
The following is a PBE-GGA calculation of an optimized crystal structure of K3Re2O8, from Alexandria. Values from VASP.

## Properties
Formation energy (no corrections) ... -1.819 eV/atom
DOS(E_F) ... 7.2 states/eV/cell

```
&SYSTEM
  ibrav = 0, nat = 13, ntyp = 3
/
ATOMIC_SPECIES
O 16.00 O.upf
Re 186.21 Re.upf
K 39.10 K.upf
CELL_PARAMETERS angstrom
-1.041 -4.025 4.605
4.112 -4.492 1.182
4.453 1.502 6.498
ATOMIC_POSITIONS crystal
O 0.725 0.725 0.294
O 0.679 0.679 0.963
O 0.321 0.321 0.037
Re 0.403 0.403 0.790
K 0.196 0.196 0.413
Re 0.597 0.597 0.210
O 0.744 0.275 0.706
O 0.725 0.256 0.294
O 0.275 0.744 0.706
K 0.000 0.000 0.000
K 0.804 0.804 0.587
O 0.256 0.725 0.294
O 0.275 0.275 0.706
```

=====

Entry 4:
The following is a PBE-GGA calculation of an optimized crystal structure of Tb5DyHo4, from Alexandria. Values from VASP.

## Properties
Energy above the lowest structure with this stoichiometry ... 0 meV per atom
Energy of formation ... 0.06 eV/atom
DOS(E_F) ... 17.6 states/eV/cell

```
&SYSTEM
  ibrav = 0, nat = 10, ntyp = 3
/
ATOMIC_SPECIES
Ho 164.93 Ho.upf
Tb 158.93 Tb.upf
Dy 162.50 Dy.upf
CELL_PARAMETERS angstrom
-2.252 -0.039 -2.733
4.845 -4.420 -1.669
-5.964 -8.679 9.613
ATOMIC_POSITIONS crystal
Ho 0.881 0.704 0.808
Ho 0.361 0.826 0.210
Tb 0.932 0.582 0.383
Tb 0.776 0.876 0.585
Ho 0.639 0.174 0.790
Dy 0.500 0.000 0.000
Tb 0.500 0.500 0.000
Tb 0.068 0.418 0.617
Ho 0.119 0.296 0.192
Tb 0.224 0.124 0.415
```

=====

Entry 5:
The following is a PBE-GGA calculation of an optimized crystal structure of KHfCl5, from Alexandria. Values from VASP.

## Properties
Formation energy (no corrections) ... -1.873 eV/atom
DOS(E_F) ... 0.0 states/eV/cell

```
&SYSTEM
  ibrav = 0, nat = 14, ntyp = 3
/
ATOMIC_SPECIES
Hf 178.49 Hf.upf
Cl 35.45 Cl.upf
K 39.10 K.upf
CELL_PARAMETERS angstrom
-2.414 -6.919 -0.734
5.774 -4.456 -1.026
1.791 -4.949 8.492
ATOMIC_POSITIONS crystal
Hf 0.000 0.000 0.500
Cl 0.285 0.135 0.887
Hf 0.000 0.000 0.000
Cl 0.135 0.285 0.387
Cl 0.329 0.788 0.512
Cl 0.715 0.865 0.113
Cl 0.671 0.212 0.488
Cl 0.067 0.933 0.250
Cl 0.933 0.067 0.750
K 0.458 0.542 0.250
K 0.542 0.458 0.750
Cl 0.212 0.671 0.988
Cl 0.788 0.329 0.012
Cl 0.865 0.715 0.613
```

=====

Entry 6:
The following is a PBE-GGA calculation of an optimized crystal structure of NaInGa4, from Alexandria. Values from VASP.

## Properties
Energy above the lowest structure with this stoichiometry ... 19 meV per atom
Energy of formation ... -0.03 eV/atom
DOS(E_F) ... 2.3 states/eV/cell

```
&SYSTEM
  ibrav = 0, nat = 6, ntyp = 3
/
ATOMIC_SPECIES
Na 22.99 Na.upf
Ga 69.72 Ga.upf
In 114.82 In.upf
CELL_PARAMETERS angstrom
4.580 -0.087 -0.023
-2.340 4.255 -0.242
0.039 0.395 6.525
ATOMIC_POSITIONS crystal
Na 0.004 0.499 0.998
Ga 0.342 0.171 0.244
Ga 0.666 0.828 0.752
In 0.004 0.499 0.498
Ga 0.665 0.828 0.244
Ga 0.343 0.171 0.752
```

=====

Entry 7:
The following is a PBE-GGA calculation of an optimized crystal structure of Ga2CuSbSe, from Alexandria. Values from VASP.

## Properties
Formation energy (no corrections) ... 0.193 eV/atom
DOS(E_F) ... 2.3 states/eV/cell

```
&SYSTEM
  ibrav = 0, nat = 5, ntyp = 4
/
ATOMIC_SPECIES
Ga 69.72 Ga.upf
Sb 121.76 Sb.upf
Cu 63.55 Cu.upf
Se 78.96 Se.upf
CELL_PARAMETERS angstrom
4.724 0.000 0.000
0.000 4.996 0.000
0.000 0.000 4.724
ATOMIC_POSITIONS crystal
Ga 0.000 0.000 0.500
Sb 0.500 0.500 0.500
Ga 0.500 0.000 0.000
Cu 0.000 0.000 0.000
Se 0.000 0.500 0.000
```

=====

Entry 8:
The following is a PBE-GGA calculation of an optimized crystal structure of NdNp2In3Te6, from Alexandria. Values from VASP.

## Properties
Formation energy (no corrections) ... -0.644 eV/atom
DOS(E_F) ... 20.0 states/eV/cell

```
&SYSTEM
  ibrav = 0, nat = 12, ntyp = 4
/
ATOMIC_SPECIES
Np 237.00 Np.upf
Te 127.60 Te.upf
In 114.82 In.upf
Nd 144.24 Nd.upf
CELL_PARAMETERS angstrom
7.735 0.000 0.000
-3.866 6.699 0.000
-1.290 -2.234 8.144
ATOMIC_POSITIONS crystal
Np 0.333 0.667 0.000
Te 0.414 0.075 0.223
Te 0.734 0.734 0.221
Te 0.925 0.586 0.777
Te 0.586 0.925 0.777
Te 0.266 0.266 0.779
In 0.835 0.165 0.500
Nd 0.000 0.000 0.000
In 0.165 0.835 0.500
In 0.500 0.500 0.500
Te 0.075 0.414 0.223
Np 0.667 0.333 0.000
```

=====

Entry 9:
The following is a PBE-GGA calculation of an optimized crystal structure of BeTeW2, from Alexandria. Values from VASP.

## Properties
Formation energy (no corrections) ... 0.601 eV/atom
Energy above the lowest structure with this stoichiometry ... 294 meV per atom
DOS(E_F) ... 1.9 states/eV/cell

```
&SYSTEM
  ibrav = 0, nat = 4, ntyp = 3
/
ATOMIC_SPECIES
Te 127.60 Te.upf
W 183.84 W.upf
Be 9.01 Be.upf
CELL_PARAMETERS angstrom
3.212 0.000 0.000
0.000 3.212 0.000
0.000 0.000 6.196
ATOMIC_POSITIONS crystal
Te 0.500 0.500 0.750
W 0.000 0.000 0.050
Be 0.500 0.500 0.250
W 0.000 0.000 0.450
```

=====

Entry 10:
The following is a PBE-GGA calculation of an optimized crystal structure of CsK2SBr, from Alexandria. Values from VASP.

## Properties
Formation energy (no corrections) ... -1.202 eV/atom

```
&SYSTEM
  ibrav = 0, nat = 5, ntyp = 4
/
ATOMIC_SPECIES
Br 79.90 Br.upf
K 39.10 K.upf
Cs 132.91 Cs.upf
S 32.06 S.upf
CELL_PARAMETERS angstrom
5.974 0.000 0.000
0.000 5.974 0.000
0.000 0.000 6.757
ATOMIC_POSITIONS crystal
Br 0.500 0.500 0.500
K 0.000 0.500 0.000
Cs 0.000 0.000 0.500
S 0.000 0.000 0.000
K 0.500 0.000 0.000
```

=====

Entry 11:
The following is a PBE-GGA calculation of an optimized crystal structure of Ca5Cu2Sn5, from Alexandria. Values from VASP.

## Properties
Energy of formation ... -0.50 eV/atom
DOS(E_F) ... 5.4 states/eV/cell

```
&SYSTEM
  ibrav = 0, nat = 12, ntyp = 3
/
ATOMIC_SPECIES
Sn 118.71 Sn.upf
Ca 40.08 Ca.upf
Cu 63.55 Cu.upf
CELL_PARAMETERS angstrom
-4.430 1.066 1.443
-5.258 -2.952 -6.045
-3.430 -7.350 2.817
ATOMIC_POSITIONS crystal
Sn 0.009 0.299 0.683
Sn 0.000 0.000 0.000
Ca 0.357 0.335 0.951
Ca 0.349 0.967 0.335
Ca 0.651 0.033 0.665
Cu 0.842 0.639 0.676
Ca 0.643 0.665 0.049
Ca 0.500 0.500 0.500
Cu 0.158 0.361 0.324
Sn 0.755 0.247 0.244
Sn 0.991 0.701 0.317
Sn 0.245 0.753 0.756
```

=====

Entry 12:
The following is a PBE-GGA calculation of an optimized crystal structure of Tb2ThAu, from Alexandria. Values from VASP.

## Properties
Energy above the lowest structure with this stoichiometry ... 0 meV per atom
Energy of formation ... -0.41 eV/atom
DOS(E_F) ... 4.8 states/eV/cell

```
&SYSTEM
  ibrav = 0, nat = 4, ntyp = 3
/
ATOMIC_SPECIES
Tb 158.93 Tb.upf
Au 196.97 Au.upf
Th 232.04 Th.upf
CELL_PARAMETERS angstrom
3.631 0.000 0.000
0.000 3.631 0.000
0.000 0.000 8.341
ATOMIC_POSITIONS crystal
Tb 0.000 0.000 0.788
Au 0.500 0.500 0.000
Tb 0.000 0.000 0.212
Th 0.500 0.500 0.500
```

=====

no.,magnetization (μB per atom)
1,0.00
2,0.00
3,0.08
4,0.00
5,0.00
6,0.00
7,0.00
8,0.67
9,0.00
10,0.00
11,0.00
12,0.00